# Ba2Cr

Crystalline Ba2Cr at its relaxed geometry (PBE, Alexandria).

```
Ba2Cr
1.0
6.165 0.000 0.000
-3.082 5.339 0.000
0.000 0.000 3.684
Ba Cr
2 1
Direct
0.333 0.667 0.000
0.667 0.333 0.000
0.000 0.000 0.500
```

Calculated formation energy: 0.800 eV per atom
Energy: -3.689 eV per atom
Offset from the most stable computed form: 267 meV/atom
Size of the total moment: 5.1 μB/f.u.
DOS at the Fermi energy: 1.639 states/eV/atom